1.
The following is a PBE-GGA calculation of a relaxed structure of BaZrHg2Ru, from the Alexandria database.

Lattice parameters (Å, degrees): 5.3044 5.2340 5.3044 90.00 90.00 90.00
Closest atoms and distances in Å follow each position.
Fractional coordinates of all 5 atoms:
Ru1 0.0000 0.0000 0.0000  2 Ba 2.62, 4 Hg 2.65
Hg1 0.0000 0.0000 0.5000  2 Ru 2.65
Hg2 0.5000 0.0000 0.0000  2 Ru 2.65
Zr1 0.5000 0.5000 0.5000  8 Hg 3.73, 4 Ba 3.75
Ba1 0.0000 0.5000 0.0000  2 Ru 2.62

symmetry: No. 123
ΔH_f (0 K): 0.884 eV/atom

2.
The following is a PBE-GGA calculation of a relaxed structure of BaHgS2, from the Alexandria database.

Lattice parameters (Å, degrees): 4.6669 8.6540 8.2698 65.60 73.63 90.02
Closest atoms and distances in Å follow each position.
Fractional coordinates of all 8 atoms:
Ba1 0.3265 0.1923 0.5316  6 S 3.18-3.20
Ba2 0.8262 0.6923 0.5316  6 S 3.18-3.20
Hg1 0.3262 0.6923 0.0316  2 S 2.34
Hg2 0.3266 0.1922 0.0317  2 S 2.34
S1 0.4310 0.6010 0.3156  1 Hg 2.34
S2 0.2215 0.7836 0.7476  1 Hg 2.34
S3 0.9375 0.1011 0.3155  1 Hg 2.34
S4 0.7155 0.2835 0.7478  1 Hg 2.34

E_form (uncorrected): -107 kJ/mol of atoms
symmetry: No. 15